Material: BeIr2Rh
Method: DFT, PBEsol
State: relaxed

Properties
SG	Cmmm (65)
ΔE_f	0.0435	eV per atom
raw total energy	-7.90	eV per atom

The structure in POSCAR format:
```
BeIr2Rh
1.0
-0.578 2.364 -1.072
-0.925 -2.212 -1.150
-6.915 0.445 4.705
Ir Be Rh
2 1 1
direct
0.000 0.000 0.223 Ir
0.000 0.000 0.777 Ir
0.500 0.500 0.000 Be
0.500 0.500 0.500 Rh
```

---

Material: SrLiP2
Method: DFT, PBEsol
State: relaxed

Properties
SG	Amm2 (38)
ΔE_f	-0.6297	eV per atom
raw total energy	-4.48	eV per atom
polymorph energy (0 for the lowest one)	0	kJ/mol of formula units

The structure in POSCAR format:
```
SrLiP2
1.0
-3.122 -2.298 -1.575
1.696 -3.464 1.694
-1.116 1.897 4.998
P Li Sr
2 1 1
direct
0.185 0.000 0.994 P
0.290 0.500 0.204 P
0.636 0.500 0.898 Li
0.889 0.000 0.404 Sr
```

---

Material: TaTi2Si2
Method: DFT, PBEsol
State: relaxed

Properties
SG	P4/mbm (127)
raw total energy	-8.95	eV per atom
energy relative to the elements, uncorrected	-4.06	eV per formula unit

The structure in POSCAR format:
```
TaTi2Si2
1.0
-2.132 1.458 -2.146
1.899 -4.245 -4.771
-4.784 -4.243 1.871
Si Ti Ta
4 4 2
direct
0.000 0.626 0.126 Si
0.000 0.874 0.626 Si
0.000 0.126 0.374 Si
0.000 0.374 0.874 Si
0.500 0.827 0.327 Ti
0.500 0.173 0.673 Ti
0.500 0.673 0.827 Ti
0.500 0.327 0.173 Ti
0.000 0.500 0.500 Ta
0.000 0.000 0.000 Ta
```